Model A:
First-principles (PBE) data for crystalline Ho8Co2Ru at its relaxed geometry, as listed in Alexandria via LeMat-Bulk.

```
Ho8Co2Ru
1.0
4.904 0.000 0.000
0.000 6.641 0.145
-2.452 -2.674 8.041
Co Ru Ho
2 1 8
direct
0.812 0.297 0.624
0.188 0.703 0.376
0.500 0.000 0.000
0.036 0.794 0.071
0.328 0.027 0.656
0.201 0.321 0.402
0.595 0.452 0.189
0.964 0.206 0.929
0.672 0.973 0.344
0.799 0.679 0.598
0.405 0.548 0.811
```

Summary:
- theoretical density (g cm⁻³) = 9.7
- space-group type = C2/m (12)

---

Model B:
First-principles (PBE) data for crystalline Ho8Co2Ru at its relaxed geometry, as listed in Alexandria via LeMat-Bulk.

```
Ho8Co2Ru
1.0
5.705 0.075 -0.947
-1.866 6.564 -2.846
-0.078 -0.189 7.391
Ho Co Ru
8 2 1
direct
0.991 0.215 0.786
0.393 0.667 0.926
0.179 0.365 0.365
0.584 0.338 0.080
0.584 0.080 0.338
0.810 0.643 0.643
0.393 0.926 0.667
0.991 0.786 0.215
0.496 0.313 0.698
0.496 0.698 0.313
0.082 0.003 0.003
```

Summary:
- theoretical density (g cm⁻³) = 9.3
- space-group type = Cm (8)

---

model A (0.056 eV/atom below the next structure)

---

Model A:
First-principles (PBE) data for crystalline Ho3CoSb at its relaxed geometry, as listed in Alexandria via LeMat-Bulk.

```
Ho3CoSb
1.0
-0.178 3.268 -2.610
-5.261 -2.699 -3.020
-5.608 4.374 5.858
Ho Co Sb
6 2 2
direct
0.250 0.250 0.907
0.750 0.750 0.093
0.250 0.496 0.351
0.750 0.996 0.649
0.250 0.004 0.351
0.750 0.504 0.649
0.750 0.750 0.398
0.250 0.250 0.602
0.750 0.250 0.146
0.250 0.750 0.854
```

Summary:
- theoretical density (g cm⁻³) = 8.8
- space-group type = Pmmn (59)

---

Model B:
First-principles (PBE) data for crystalline Ho3CoSb at its relaxed geometry, as listed in Alexandria via LeMat-Bulk.

```
Ho3CoSb
1.0
5.092 0.000 0.000
0.000 5.092 0.000
0.000 0.000 5.092
Ho Co Sb
3 1 1
direct
0.500 0.000 0.000
0.000 0.500 0.000
0.000 0.000 0.500
0.000 0.000 0.000
0.500 0.500 0.500
```

Summary:
- theoretical density (g cm⁻³) = 8.5
- space-group type = Pm-3m (221)

---

model A (0.101 eV/atom below the next structure)

---

Model A:
First-principles (PBE) data for crystalline Ho5CoSb2 at its relaxed geometry, as listed in Alexandria via LeMat-Bulk.

```
Ho5CoSb2
1.0
-5.327 2.133 0.405
2.059 -3.337 3.816
5.568 12.413 7.851
Ho Sb Co
10 4 2
direct
0.601 0.202 0.863
0.601 0.202 0.637
0.066 0.133 0.101
0.066 0.133 0.399
0.934 0.867 0.601
0.934 0.867 0.899
0.256 0.512 0.750
0.399 0.798 0.363
0.399 0.798 0.137
0.744 0.488 0.250
0.722 0.445 0.058
0.278 0.555 0.942
0.278 0.555 0.558
0.722 0.445 0.442
0.831 0.662 0.750
0.169 0.338 0.250
```

Summary:
- theoretical density (g cm⁻³) = 8.9
- space-group type = Cmcm (63)

---

Model B:
First-principles (PBE) data for crystalline Ho5CoSb2 at its relaxed geometry, as listed in Alexandria via LeMat-Bulk.

```
Ho5CoSb2
1.0
-5.134 4.843 3.468
1.477 -3.911 7.649
8.981 7.877 2.294
Sb Ho Co
8 20 4
direct
0.570 0.508 0.827
0.930 0.992 0.327
0.430 0.492 0.173
0.070 0.492 0.673
0.570 0.992 0.827
0.930 0.508 0.327
0.430 0.008 0.173
0.070 0.008 0.673
0.344 0.750 0.703
0.452 0.750 0.998
0.677 0.537 0.565
0.048 0.750 0.498
0.823 0.537 0.065
0.823 0.963 0.065
0.677 0.963 0.565
0.844 0.250 0.797
0.323 0.463 0.435
0.378 0.250 0.692
0.952 0.250 0.502
0.548 0.250 0.002
0.656 0.250 0.297
0.122 0.250 0.192
0.323 0.037 0.435
0.177 0.463 0.935
0.156 0.750 0.203
0.878 0.750 0.808
0.177 0.037 0.935
0.622 0.750 0.308
0.569 0.250 0.510
0.069 0.750 0.990
0.431 0.750 0.490
0.931 0.250 0.010
```

Summary:
- theoretical density (g cm⁻³) = 9.0
- space-group type = Pnma (62)

---

model B (0.349 eV/atom below the next structure)

---

Model A:
First-principles (PBE) data for crystalline HoScCo at its relaxed geometry, as listed in Alexandria via LeMat-Bulk.

```
HoScCo
1.0
-1.629 2.709 7.338
1.629 -2.709 7.338
1.629 2.709 -7.338
Ho Sc Co
2 2 2
direct
0.676 0.176 0.500
0.324 0.824 0.500
0.902 0.402 0.500
0.098 0.598 0.500
0.720 0.000 0.720
0.280 0.000 0.280
```

Summary:
- theoretical density (g cm⁻³) = 6.9
- space-group type = Immm (71)

---

Model B:
First-principles (PBE) data for crystalline HoScCo at its relaxed geometry, as listed in Alexandria via LeMat-Bulk.

```
HoScCo
1.0
3.738 0.006 -0.224
-0.019 5.581 -0.230
-1.493 -0.921 6.465
Co Sc Ho
2 2 2
direct
0.272 0.142 0.543
0.728 0.858 0.457
0.911 0.201 0.820
0.089 0.799 0.180
0.350 0.674 0.699
0.650 0.326 0.301
```

Summary:
- theoretical density (g cm⁻³) = 6.8
- space-group type = C2/m (12)

---

model B (0.218 eV/atom below the next structure)

---

Model A:
First-principles (PBE) data for crystalline HoScCo at its relaxed geometry, as listed in Alexandria via LeMat-Bulk.

```
HoScCo
1.0
4.523 0.000 0.000
2.261 3.917 0.000
2.261 1.306 3.693
Ho Sc Co
1 1 1
direct
0.000 0.000 0.000
0.500 0.500 0.500
0.250 0.250 0.250
```

Summary:
- theoretical density (g cm⁻³) = 6.8
- space-group type = F-43m (216)

---

Model B:
First-principles (PBE) data for crystalline HoScCo at its relaxed geometry, as listed in Alexandria via LeMat-Bulk.

```
HoScCo
1.0
-1.508 -1.863 -2.187
3.998 -4.902 1.416
-4.127 0.327 4.976
Co Ho Sc
2 2 2
direct
0.936 0.817 0.639
0.942 0.287 0.650
0.306 0.481 0.378
0.572 0.623 0.911
0.565 0.115 0.896
0.313 0.989 0.392
```

Summary:
- theoretical density (g cm⁻³) = 7.0
- space-group type = C2/m (12)

---

model B (0.089 eV/atom below the next structure)

---

Model A:
First-principles (PBE) data for crystalline HoScTlCo at its relaxed geometry, as listed in Alexandria via LeMat-Bulk.

```
HoScTlCo
1.0
-0.186 3.928 -3.002
-4.313 2.280 -0.826
-0.814 4.507 1.871
Ho Co Tl Sc
1 1 1 1
direct
0.500 0.500 0.500
0.250 0.250 0.250
0.750 0.750 0.750
0.000 0.000 0.000
```

Summary:
- theoretical density (g cm⁻³) = 9.2
- space-group type = F-43m (216)

---

Model B:
First-principles (PBE) data for crystalline HoScTlCo at its relaxed geometry, as listed in Alexandria via LeMat-Bulk.

```
HoScTlCo
1.0
3.267 0.000 0.000
0.000 3.267 0.000
0.000 0.000 7.868
Ho Tl Co Sc
1 1 1 1
direct
0.500 0.500 0.771
0.000 0.000 0.088
0.000 0.000 0.552
0.500 0.500 0.374
```

Summary:
- theoretical density (g cm⁻³) = 9.4
- space-group type = P4mm (99)

---

model B (0.155 eV/atom below the next structure)

---

Model A:
First-principles (PBE) data for crystalline Ho2CoSe at its relaxed geometry, as listed in Alexandria via LeMat-Bulk.

```
Ho2CoSe
1.0
3.444 0.000 0.000
0.000 3.444 0.000
0.000 0.000 7.035
Ho Se Co
2 1 1
direct
0.000 0.000 0.769
0.000 0.000 0.231
0.500 0.500 0.500
0.500 0.500 0.000
```

Summary:
- theoretical density (g cm⁻³) = 9.3
- space-group type = P4/mmm (123)

---

Model B:
First-principles (PBE) data for crystalline Ho2CoSe at its relaxed geometry, as listed in Alexandria via LeMat-Bulk.

```
Ho2CoSe
1.0
-0.833 1.192 3.673
-3.849 0.506 -1.037
-0.225 -10.673 3.413
Se Co Ho
2 2 4
direct
0.750 0.805 0.611
0.250 0.195 0.389
0.250 0.471 0.943
0.750 0.529 0.057
0.750 0.671 0.341
0.250 0.063 0.127
0.250 0.329 0.659
0.750 0.937 0.873
```

Summary:
- theoretical density (g cm⁻³) = 8.9
- space-group type = Cmcm (63)

---

model B (0.204 eV/atom below the next structure)

---

Model A:
First-principles (PBE) data for crystalline HoCo2Si3 at its relaxed geometry, as listed in Alexandria via LeMat-Bulk.

```
HoCo2Si3
1.0
5.016 0.000 0.000
0.000 5.919 0.258
0.000 -1.710 5.673
Ho Si Co
2 6 4
direct
0.750 0.663 0.663
0.250 0.337 0.337
0.250 0.527 0.902
0.250 0.937 0.937
0.250 0.902 0.527
0.750 0.473 0.098
0.750 0.098 0.473
0.750 0.063 0.063
0.500 0.201 0.799
0.000 0.799 0.201
0.500 0.799 0.201
0.000 0.201 0.799
```

Summary:
- theoretical density (g cm⁻³) = 7.1
- space-group type = Cmcm (63)

---

Model B:
First-principles (PBE) data for crystalline HoCo2Si3 at its relaxed geometry, as listed in Alexandria via LeMat-Bulk.

```
HoCo2Si3
1.0
3.767 0.000 0.000
-1.884 7.328 -2.104
0.000 0.324 9.150
Ho Si Co
3 9 6
direct
0.150 0.300 0.699
0.000 0.000 0.000
0.850 0.700 0.301
0.359 0.717 0.811
0.643 0.286 0.931
0.948 0.896 0.641
0.500 0.000 0.500
0.641 0.283 0.189
0.224 0.447 0.376
0.052 0.104 0.359
0.357 0.714 0.069
0.776 0.553 0.624
0.209 0.417 0.086
0.504 0.009 0.761
0.355 0.711 0.561
0.791 0.583 0.914
0.645 0.289 0.439
0.496 0.991 0.239
```

Summary:
- theoretical density (g cm⁻³) = 7.2
- space-group type = C2/m (12)

---

model B (0.023 eV/atom below the next structure)